1.
Sc5Zn4Ni | GGA-PBE | optimized geometry

Summary:
space-group type: P4/mmm (123)
raw total energy: -4.65 eV per atom
energy of formation: -396 meV per atom

POSCAR file:
```
Sc5Zn4Ni
1.0
3.312 0.000 0.000
0.000 3.312 0.000
0.000 0.000 16.633
Sc Zn Ni
5 4 1
Direct
0.000 0.000 0.000
0.000 0.000 0.205
0.000 0.000 0.409
0.000 0.000 0.591
0.000 0.000 0.795
0.500 0.500 0.102
0.500 0.500 0.306
0.500 0.500 0.694
0.500 0.500 0.898
0.500 0.500 0.500
```

2.
TlRe2Hg | GGA-PBE | optimized geometry

Summary:
space-group type: P2/m (10)
raw total energy: -5.82 eV per atom
energy above the most stable polymorph in this dataset: 0.624 eV/atom
energy of formation: 1071 meV per atom

POSCAR file:
```
TlRe2Hg
1.0
5.009 0.000 0.000
0.000 2.992 0.000
-1.669 0.000 4.799
Tl Re Hg
1 2 1
Direct
0.000 0.000 0.000
0.500 0.000 0.500
0.500 0.500 0.000
0.000 0.500 0.500
```

3.
Nd6Te3PtS2 | GGA-PBE | optimized geometry

Summary:
space-group type: C2/m (12)
formation energy without anion corrections: -1.5813 eV/atom
raw total energy: -5.94 eV per atom

POSCAR file:
```
Nd6Te3PtS2
1.0
3.710 -6.418 0.000
3.710 6.418 0.000
-2.485 0.000 7.200
Nd Te Pt S
6 3 1 2
Direct
0.072 0.405 0.218
0.260 0.260 0.780
0.405 0.072 0.218
0.595 0.928 0.782
0.740 0.740 0.220
0.928 0.595 0.782
0.169 0.831 0.500
0.500 0.500 0.500
0.831 0.169 0.500
0.000 0.000 0.000
0.334 0.666 0.000
0.666 0.334 0.000
```

4.
Tl4TcOs | GGA-PBE | optimized geometry

Summary:
space-group type: F-43m (216)
raw total energy: -3.58 eV per atom
energy of formation: 1595 meV per atom

POSCAR file:
```
Tl4TcOs
1.0
0.000 4.231 4.231
4.231 0.000 4.231
4.231 4.231 0.000
Tl Tc Os
4 1 1
Direct
0.125 0.125 0.125
0.125 0.125 0.626
0.125 0.626 0.125
0.626 0.125 0.125
0.500 0.500 0.500
0.750 0.750 0.750
```

5.
Pa3Ga2Ni9Ge | GGA-PBE | optimized geometry

Summary:
space-group type: P-3m1 (164)
raw total energy: -6.15 eV per atom
energy of formation: -72 meV per atom

POSCAR file:
```
Pa3Ga2Ni9Ge
1.0
6.228 0.000 0.000
-3.114 5.393 0.000
0.000 0.000 7.679
Pa Ga Ni Ge
3 2 9 1
Direct
0.000 0.000 0.000
0.333 0.667 0.713
0.667 0.333 0.287
0.333 0.667 0.218
0.667 0.333 0.782
0.000 0.500 0.000
0.132 0.263 0.265
0.132 0.868 0.265
0.263 0.132 0.735
0.500 0.000 0.000
0.500 0.500 0.000
0.737 0.868 0.265
0.868 0.132 0.735
0.868 0.737 0.735
0.000 0.000 0.500
```

6.
CaPtW | GGA-PBE | optimized geometry

Summary:
space-group type: P-1 (2)
raw total energy: -7.10 eV per atom
energy of formation: -99 meV per atom

POSCAR file:
```
CaPtW
1.0
2.878 0.000 0.000
-0.007 4.890 0.000
-1.220 -0.416 8.118
Ca Pt W
2 2 2
Direct
0.088 0.194 0.180
0.912 0.806 0.820
0.435 0.315 0.843
0.565 0.685 0.157
0.166 0.741 0.442
0.834 0.259 0.558
```

7.
TcAs2P | GGA-PBE | optimized geometry

Summary:
space-group type: C2/m (12)
raw total energy: -5.94 eV per atom
energy of formation: 325 meV per atom

POSCAR file:
```
TcAs2P
1.0
5.117 0.000 0.000
0.000 7.515 0.000
-2.241 0.000 3.518
Tc As P
2 4 2
Direct
0.000 0.000 0.000
0.500 0.500 0.000
0.250 0.250 0.500
0.250 0.750 0.500
0.750 0.250 0.500
0.750 0.750 0.500
0.000 0.500 0.000
0.500 0.000 0.000
```

8.
CsNaTlO | GGA-PBE | optimized geometry

Summary:
space-group type: Amm2 (38)
formation energy without anion corrections: -0.6767 eV/atom
raw total energy: -3.05 eV per atom

POSCAR file:
```
CsNaTlO
1.0
3.634 0.000 0.000
0.000 5.658 0.000
0.000 0.000 11.433
Cs Na Tl O
2 2 2 2
Direct
0.000 0.000 0.000
0.000 0.500 0.500
0.000 0.000 0.367
0.000 0.500 0.867
0.500 0.000 0.682
0.500 0.500 0.182
0.500 0.000 0.489
0.500 0.500 0.989
```

9.
Pm2Cu2Ir | GGA-PBE | optimized geometry

Summary:
space-group type: C2/m (12)
raw total energy: -5.68 eV per atom
energy of formation: -373 meV per atom

POSCAR file:
```
Pm2Cu2Ir
1.0
5.158 -2.074 0.000
5.158 2.074 0.000
-4.680 0.000 10.007
Pm Cu Ir
4 4 2
Direct
0.030 0.030 0.347
0.201 0.201 0.123
0.799 0.799 0.877
0.970 0.970 0.653
0.364 0.364 0.442
0.485 0.485 0.108
0.515 0.515 0.892
0.636 0.636 0.558
0.277 0.277 0.678
0.723 0.723 0.322
```

10.
Cs2GePbI6 | GGA-PBE | optimized geometry

Summary:
space-group type: Fm-3m (225)
formation energy without anion corrections: -0.9085 eV/atom
raw total energy: -2.84 eV per atom
energy above the most stable polymorph in this dataset: 0.000 eV/atom

POSCAR file:
```
Cs2GePbI6
1.0
0.000 6.186 6.186
6.186 0.000 6.186
6.186 6.186 0.000
Cs Ge Pb I
2 1 1 6
Direct
0.250 0.250 0.250
0.750 0.750 0.750
0.000 0.000 0.000
0.500 0.500 0.500
0.242 0.242 0.758
0.242 0.758 0.242
0.242 0.758 0.758
0.758 0.242 0.242
0.758 0.242 0.758
0.758 0.758 0.242
```

11.
Na2PaSnO6 | GGA-PBE | optimized geometry

Summary:
space-group type: R3 (146)
formation energy without anion corrections: -2.2062 eV/atom
raw total energy: -6.79 eV per atom

POSCAR file:
```
Na2PaSnO6
1.0
2.888 1.668 4.863
-2.888 1.668 4.863
0.000 -3.335 4.863
Na Pa Sn O
2 1 1 6
Direct
0.000 0.000 0.000
0.481 0.481 0.481
0.239 0.239 0.239
0.739 0.739 0.739
0.069 0.488 0.899
0.408 0.987 0.578
0.488 0.899 0.069
0.578 0.408 0.987
0.899 0.069 0.488
0.987 0.578 0.408
```

12.
ScBCl2 | GGA-PBE | optimized geometry

Summary:
space-group type: Fm-3m (225)
formation energy without anion corrections: 0.0925 eV/atom
raw total energy: -4.08 eV per atom
energy above the most stable polymorph in this dataset: 0.399 eV/atom

POSCAR file:
```
ScBCl2
1.0
6.496 0.000 0.000
0.000 6.496 0.000
0.000 0.000 6.496
Sc B Cl
4 4 8
Direct
0.000 0.000 0.000
0.000 0.500 0.500
0.500 0.000 0.500
0.500 0.500 0.000
0.000 0.000 0.500
0.000 0.500 0.000
0.500 0.000 0.000
0.500 0.500 0.500
0.250 0.250 0.250
0.250 0.250 0.750
0.250 0.750 0.250
0.250 0.750 0.750
0.750 0.250 0.250
0.750 0.250 0.750
0.750 0.750 0.250
0.750 0.750 0.750
```